[1]
CrBi3Se6: relaxed, PBE.

## Properties
The uncorrected formation energy comes out at -0.375 eV/atom.

Cell and atoms, written as POSCAR:
```
CrBi3Se6
1.0
10.258 0.000 0.000
0.000 4.026 0.000
-3.695 0.000 13.861
Cr Bi Se
2 6 12
direct
0.044 0.250 0.117
0.956 0.750 0.883
0.105 0.250 0.632
0.344 0.250 0.401
0.351 0.750 0.047
0.649 0.250 0.953
0.656 0.750 0.599
0.895 0.750 0.368
0.102 0.750 0.764
0.110 0.250 0.960
0.162 0.750 0.471
0.200 0.750 0.192
0.456 0.250 0.602
0.473 0.750 0.866
0.527 0.250 0.134
0.544 0.750 0.398
0.800 0.250 0.808
0.838 0.250 0.529
0.890 0.750 0.040
0.898 0.250 0.236
```


[2]
ThPaTlAu: relaxed, PBE.

## Properties
The calculation puts the formation energy at -0.013 eV/atom.

Cell and atoms, written as POSCAR:
```
ThPaTlAu
1.0
0.000 3.764 3.764
3.764 0.000 3.764
3.764 3.764 0.000
Th Pa Tl Au
1 1 1 1
direct
0.000 0.000 0.000
0.500 0.500 0.500
0.250 0.250 0.250
0.750 0.750 0.750
```


Energy values (in eV/atom) by entry order: -4.592, -5.653.
D(E_F) values (in states/eV/cell) by entry order: 0.2, 8.6.